The following is a DFT calculation (SCAN) of LiTaBAs2 at its PBEsol-relaxed geometry. Values from VASP.

Cell and atoms, written as Quantum ESPRESSO input:
```
&SYSTEM
  ibrav = 0, nat = 5, ntyp = 4
/
ATOMIC_SPECIES
Li 6.94 Li.upf
Ta 180.95 Ta.upf
B 10.81 B.upf
As 74.92 As.upf
CELL_PARAMETERS angstrom
4.394 0.000 0.000
0.000 4.394 0.000
0.000 0.000 4.269
ATOMIC_POSITIONS crystal
Li 0.000 0.000 0.000
Ta 0.500 0.500 0.000
B 0.500 0.500 0.500
As 0.000 0.500 0.500
As 0.500 0.000 0.500
```

## Properties
Calculated formation energy in eV per atom: 0.66
Space group: No. 123
Theoretical density in kg/m³: 7024
DOS at the Fermi energy in states/eV/f.u.: 3.20
Total magnetization in μB/f.u.: 0.0

=====

The following is a DFT calculation (SCAN) of LiTlBAs2 at its PBEsol-relaxed geometry. Values from VASP.

Cell and atoms, written as Quantum ESPRESSO input:
```
&SYSTEM
  ibrav = 0, nat = 5, ntyp = 4
/
ATOMIC_SPECIES
Li 6.94 Li.upf
Tl 204.38 Tl.upf
B 10.81 B.upf
As 74.92 As.upf
CELL_PARAMETERS angstrom
4.444 0.000 0.000
0.000 4.444 0.000
0.000 0.000 4.930
ATOMIC_POSITIONS crystal
Li 0.000 0.000 0.000
Tl 0.500 0.500 0.000
B 0.500 0.500 0.500
As 0.000 0.500 0.500
As 0.500 0.000 0.500
```

## Properties
Calculated formation energy in eV per atom: 0.55
Space group: No. 123
Theoretical density in kg/m³: 6346
DOS at the Fermi energy in states/eV/f.u.: 2.30
Total magnetization in μB/f.u.: 0.0

=====

The following is a DFT calculation (SCAN) of Mg2BAs2 at its PBEsol-relaxed geometry. Values from VASP.

Cell and atoms, written as Quantum ESPRESSO input:
```
&SYSTEM
  ibrav = 0, nat = 10, ntyp = 3
/
ATOMIC_SPECIES
Mg 24.30 Mg.upf
B 10.81 B.upf
As 74.92 As.upf
CELL_PARAMETERS angstrom
7.618 0.000 0.000
0.000 7.618 0.000
0.000 0.000 3.083
ATOMIC_POSITIONS crystal
Mg 0.141 0.359 0.000
Mg 0.359 0.859 0.000
Mg 0.641 0.141 0.000
Mg 0.859 0.641 0.000
B 0.000 0.000 0.500
B 0.500 0.500 0.500
As 0.163 0.663 0.500
As 0.337 0.163 0.500
As 0.663 0.837 0.500
As 0.837 0.337 0.500
```

## Properties
Calculated formation energy in eV per atom: 0.48
Space group: No. 127
Theoretical density in kg/m³: 3884
DOS at the Fermi energy in states/eV/f.u.: 1.91
Total magnetization in μB/f.u.: 0.0